(1)
The following is a DFT calculation (GGA-PBE) of a relaxed Ce7PuPb2 crystal.

Cell lengths 8.708, 8.708, 10.487 Å; angles 120.91, 120.91, 58.73 degrees
Sites, in units of the cell vectors:
Ce 0.013 0.987 0.750
Ce 0.171 0.587 0.188
Ce 0.197 0.440 0.500
Ce 0.260 0.601 0.886
Ce 0.399 0.740 0.614
Ce 0.413 0.829 0.312
Ce 0.440 0.197 0.000
Ce 0.560 0.803 0.000
Ce 0.587 0.171 0.688
Ce 0.601 0.260 0.386
Ce 0.740 0.399 0.114
Ce 0.803 0.560 0.500
Ce 0.829 0.413 0.812
Ce 0.987 0.013 0.250
Pu 0.464 0.536 0.750
Pu 0.536 0.464 0.250
Pb 0.148 0.195 0.632
Pb 0.195 0.148 0.132
Pb 0.805 0.852 0.868
Pb 0.852 0.805 0.368

## Properties
magnetic moment	1.295	μB per formula unit
DFT formation energy	-176	meV per atom
crystal system	monoclinic

---

(2)
The following is a DFT calculation (GGA-PBE) of a relaxed GdYZnRh crystal.

Cell lengths 4.970, 4.970, 4.970 Å; angles 60.00, 60.00, 60.00 degrees
Sites, in units of the cell vectors:
Gd 0.000 0.000 0.000
Y 0.500 0.500 0.500
Zn 0.750 0.750 0.750
Rh 0.250 0.250 0.250

## Properties
magnetic moment	7.087	μB per formula unit
DFT formation energy	-579	meV per atom
crystal system	cubic

---

(3)
The following is a DFT calculation (GGA-PBE) of a relaxed Pa2NiGe crystal.

Cell lengths 5.862, 3.779, 8.014 Å; angles 90.00, 110.23, 90.00 degrees
Sites, in units of the cell vectors:
Pa 0.177 0.250 0.396
Pa 0.264 0.750 0.055
Pa 0.736 0.250 0.945
Pa 0.823 0.750 0.604
Ni 0.164 0.250 0.788
Ni 0.836 0.750 0.212
Ge 0.375 0.750 0.700
Ge 0.625 0.250 0.300

## Properties
magnetic moment	0.000	μB per formula unit
ΔE to the lowest computed polymorph	0.0	meV per atom
DFT formation energy	-422	meV per atom
crystal system	monoclinic

---

- DFT formation energy of number 3 (Pa2NiGe)?
  -422 meV per atom